No. 1
Compound: BaY2PdPb
Source: Alexandria via LeMat-Bulk
Functional: PBE
Structure: optimized geometry

```
data_BaY2PdPb
_symmetry_space_group_name_H-M 'P 1'
_symmetry_Int_Tables_number 1
_cell_length_a 5.688
_cell_length_b 5.688
_cell_length_c 5.897
_cell_angle_alpha 90.00
_cell_angle_beta 90.00
_cell_angle_gamma 90.00
loop_
_symmetry_equiv_pos_as_xyz
'x,y,z'
loop_
_atom_site_label
_atom_site_type_symbol
_atom_site_fract_x
_atom_site_fract_y
_atom_site_fract_z
Ba1 Ba 0.000 0.000 0.000
Y1 Y 0.000 0.500 0.000
Y2 Y 0.500 0.000 0.000
Pd1 Pd 0.500 0.500 0.500
Pb1 Pb 0.000 0.000 0.500
```

space-group type = No. 123


No. 2
Compound: BaPm8Pb6
Source: Alexandria via LeMat-Bulk
Functional: PBE
Structure: optimized geometry

```
data_BaPm8Pb6
_symmetry_space_group_name_H-M 'P 1'
_symmetry_Int_Tables_number 1
_cell_length_a 8.634
_cell_length_b 8.634
_cell_length_c 8.634
_cell_angle_alpha 67.45
_cell_angle_beta 67.45
_cell_angle_gamma 67.45
loop_
_symmetry_equiv_pos_as_xyz
'x,y,z'
loop_
_atom_site_label
_atom_site_type_symbol
_atom_site_fract_x
_atom_site_fract_y
_atom_site_fract_z
Ba1 Ba 0.000 0.000 0.000
Pm1 Pm 0.102 0.774 0.425
Pm2 Pm 0.226 0.575 0.898
Pm3 Pm 0.332 0.332 0.332
Pm4 Pm 0.425 0.102 0.774
Pm5 Pm 0.575 0.898 0.226
Pm6 Pm 0.668 0.668 0.668
Pm7 Pm 0.774 0.425 0.102
Pm8 Pm 0.898 0.226 0.575
Pb1 Pb 0.071 0.419 0.726
Pb2 Pb 0.274 0.929 0.581
Pb3 Pb 0.419 0.726 0.071
Pb4 Pb 0.581 0.274 0.929
Pb5 Pb 0.726 0.071 0.419
Pb6 Pb 0.929 0.581 0.274
```

space-group type = No. 148


| no. | energy (eV per atom) |
| --- | --- |
| 1 | -3.414 |
| 2 | -4.536 |